(w)
TbDyHoIn PBE relaxed; total moment = 0.009 μB per formula unit
1.0
-3.289 -0.976 -3.419
-2.601 -2.512 3.220
-2.423 4.024 1.182
Tb Dy Ho In
1 1 1 1
Direct
0.500 0.000 0.500
0.500 0.500 0.000
0.000 0.500 0.500
0.000 0.000 0.000

---

(x)
TbDyHoIn PBE relaxed; total moment = 1.060 μB per formula unit
1.0
5.446 0.000 0.000
2.723 4.716 0.000
2.723 1.572 4.447
In Tb Ho Dy
1 1 1 1
Direct
0.750 0.750 0.750
0.000 0.000 0.000
0.250 0.250 0.250
0.500 0.500 0.500

---

Which one sits at the top of the stability order? (w) does.

---

(w)
DyHoZnIn PBE relaxed; total moment = 0.000 μB per formula unit
1.0
3.631 0.000 0.000
0.000 3.631 0.000
0.000 0.000 7.418
Dy Ho Zn In
1 1 1 1
Direct
0.000 0.000 0.838
0.000 0.000 0.377
0.500 0.500 0.605
0.500 0.500 0.109

---

(x)
DyHoZnIn PBE relaxed; total moment = 0.000 μB per formula unit
1.0
-4.630 2.298 -0.417
-3.726 -1.029 3.457
-1.420 3.615 3.436
Zn In Ho Dy
1 1 1 1
Direct
0.000 0.000 0.000
0.500 0.500 0.500
0.750 0.750 0.750
0.250 0.250 0.250

---

Which one sits at the top of the stability order? (w) does.